No. 1
LaWBr: optimized geometry, PBE.

* Fermi-level density of states: 4.4 states/eV per cell
* electronic total energy: -0.405 Ry per atom
* energy relative to the elements, uncorrected: 1010 meV/atom
* space group: No. 216
* spin magnetization: 2.32 μB/f.u.

a b c (Å): 4.848 4.848 4.848
angles (deg): 60.00 60.00 60.00
Each line ends with the local moment (μB).
Sites, in units of the cell vectors:
Br  0.750  0.750  0.750  0.02
W  0.500  0.500  0.500  1.75
La  0.000  0.000  0.000  0.00

=====

No. 2
LaWBr2: optimized geometry, PBE.

* Fermi-level density of states: 2.0 states/eV per cell
* electronic total energy: -0.381 Ry per atom
* energy relative to the elements, uncorrected: 117 meV/atom
* space group: No. 10
* spin magnetization: 0.00 μB/f.u.

a b c (Å): 4.414 4.122 5.375
angles (deg): 83.79 90.00 90.00
Sites, in units of the cell vectors:
Br  0.000  0.944  0.966
Br  0.000  0.556  0.534
W  0.500  0.750  0.750
La  0.500  0.250  0.250